Entry 1:
# KNb2Se3

An optimized crystal structure of KNb2Se3 (PBE, Alexandria).

The calculation puts the raw formation energy at -0.82 eV/atom.

It has space group Cmcm (No. 63), with a = 4.446 Å, b = 15.633 Å, c = 8.531 Å, α = 90.00°, β = 90.00° and γ = 90.00°. The distinct sites, in fractional coordinates, are K at (0.000, 0.220, 0.250), Nb at (0.000, 0.000, 0.000), Nb at (0.000, 0.476, 0.250), Se at (0.000, 0.111, 0.750) and Se at (0.000, 0.398, 0.547).

---

Entry 2:
# KNb4Se8

An optimized crystal structure of KNb4Se8 (PBE, Alexandria).

The calculation puts the raw formation energy at -0.69 eV/atom.

It has space group F-43m (No. 216), with a = 10.910 Å, b = 10.910 Å, c = 10.910 Å, α = 90.00°, β = 90.00° and γ = 90.00°. The distinct sites, in fractional coordinates, are K at (0.000, 0.000, 0.000), Nb at (0.107, 0.107, 0.607), Se at (0.129, 0.129, 0.371) and Se at (0.148, 0.148, 0.852).

---

Entry 3:
# KNbSe2

An optimized crystal structure of KNbSe2 (PBE, Alexandria).

The calculation puts the raw formation energy at -0.32 eV/atom.

It has space group Fm-3m (No. 225), with a = 7.007 Å, b = 7.007 Å, c = 7.007 Å, α = 90.00°, β = 90.00° and γ = 90.00°. The distinct sites, in fractional coordinates, are K at (0.000, 0.000, 0.000), Nb at (0.000, 0.000, 0.500) and Se at (0.250, 0.250, 0.250).

---

Entry 4:
# K2NbSe5

An optimized crystal structure of K2NbSe5 (PBE, Alexandria).

The calculation puts the raw formation energy at -0.80 eV/atom.

It has space group Cm (No. 8), with a = 8.617 Å, b = 14.465 Å, c = 5.542 Å, α = 90.00°, β = 129.92° and γ = 90.00°. The distinct sites, in fractional coordinates, are K at (0.000, 0.150, 0.000), Nb at (0.375, 0.000, 0.876), Se at (0.002, 0.369, 0.267), Se at (0.003, 0.369, 0.737) and Se at (0.015, 0.000, 0.514).

---

Entry 5:
# KNb6Se12

An optimized crystal structure of KNb6Se12 (PBE, Alexandria).

The calculation puts the raw formation energy at -0.51 eV/atom.

It has space group R-3m (No. 166, hexagonal axes), with a = 12.6072 Å, b = 12.6072 Å, c = 8.8880 Å, α = 90.00°, β = 90.00° and γ = 120.00°. The distinct sites, in fractional coordinates, are K at (0.0000, 0.0000, 0.0000), Nb at (0.0641, 0.5321, 0.2381), Se at (0.0000, 0.3795, 0.5000) and Se at (0.0893, 0.1786, 0.3091).

---

Entry 6:
# K2NbSe4

An optimized crystal structure of K2NbSe4 (PBE, Alexandria).

The calculation puts the raw formation energy at -0.78 eV/atom.

It has space group I4/mmm (No. 139), with a = 5.147 Å, b = 5.147 Å, c = 16.527 Å, α = 90.00°, β = 90.00° and γ = 90.00°. The distinct sites, in fractional coordinates, are K at (0.000, 0.000, 0.144), Nb at (0.000, 0.000, 0.500), Se at (0.000, 0.000, 0.346) and Se at (0.000, 0.500, 0.000).

---

Entry 7:
# KNb4Se8

An optimized crystal structure of KNb4Se8 (PBE, Alexandria).

The calculation puts the raw formation energy at -0.84 eV/atom.

It has space group C2/m (No. 12), with a = 17.823 Å, b = 3.518 Å, c = 12.547 Å, α = 90.00°, β = 130.36° and γ = 90.00°. The distinct sites, in fractional coordinates, are K at (0.000, 0.000, 0.000), Nb at (0.158, 0.000, 0.477), Nb at (0.177, 0.500, 0.859), Se at (0.037, 0.000, 0.740), Se at (0.131, 0.500, 0.600), Se at (0.155, 0.500, 0.315) and Se at (0.192, 0.500, 0.080).

---

Entry 8:
# K3Tb3NbSe8

An optimized crystal structure of K3Tb3NbSe8 (PBE, Alexandria).

The calculation puts the raw formation energy at -1.52 eV/atom.

It has space group R-3m (No. 166, hexagonal axes), with a = 8.1994 Å, b = 8.1994 Å, c = 23.5839 Å, α = 90.00°, β = 90.00° and γ = 120.00°. The distinct sites, in fractional coordinates, are K at (0.0000, 0.5000, 0.0000), Tb at (0.0000, 0.5000, 0.5000), Nb at (0.0000, 0.0000, 0.5000), Se at (0.0000, 0.0000, 0.2358) and Se at (0.0213, 0.5107, 0.2319).

---

Entry 9:
# KNbTcSe3

An optimized crystal structure of KNbTcSe3 (PBE, Alexandria).

The calculation puts the raw formation energy at -0.77 eV/atom.

It has space group P2_1/m (No. 11), with a = 8.840 Å, b = 3.648 Å, c = 9.927 Å, α = 90.00°, β = 114.35° and γ = 90.00°. The distinct sites, in fractional coordinates, are K at (0.237, 0.250, 0.249), Nb at (0.299, 0.750, 0.827), Tc at (0.085, 0.250, 0.605), Se at (0.106, 0.250, 0.864), Se at (0.237, 0.750, 0.545) and Se at (0.459, 0.750, 0.130).

---

Entry 10:
# KNbTl2Se4

An optimized crystal structure of KNbTl2Se4 (PBE, Alexandria).

The calculation puts the raw formation energy at -0.72 eV/atom.

It has space group I-4 (No. 82), with a = 8.467 Å, b = 8.467 Å, c = 8.119 Å, α = 90.00°, β = 90.00° and γ = 90.00°. The distinct sites, in fractional coordinates, are K at (0.000, 0.000, 0.000), Nb at (0.000, 0.500, 0.750), Tl at (0.000, 0.000, 0.500), Tl at (0.000, 0.500, 0.250) and Se at (0.159, 0.333, 0.573).

---

Entry 11:
# KNb2TlSe

An optimized crystal structure of KNb2TlSe (PBE, Alexandria).

The calculation puts the raw formation energy at 1.50 eV/atom.

It has space group P4/mmm (No. 123), with a = 5.328 Å, b = 5.328 Å, c = 5.929 Å, α = 90.00°, β = 90.00° and γ = 90.00°. The distinct sites, in fractional coordinates, are K at (0.000, 0.000, 0.000), Nb at (0.000, 0.500, 0.500), Tl at (0.000, 0.000, 0.500) and Se at (0.500, 0.500, 0.000).

---

Entry 12:
# K3U3NbSe8

An optimized crystal structure of K3U3NbSe8 (PBE, Alexandria).

The calculation puts the raw formation energy at -1.16 eV/atom.

It has space group R-3m (No. 166, hexagonal axes), with a = 8.1313 Å, b = 8.1313 Å, c = 23.8655 Å, α = 90.00°, β = 90.00° and γ = 120.00°. The distinct sites, in fractional coordinates, are K at (0.0000, 0.5000, 0.0000), U at (0.0000, 0.5000, 0.5000), Nb at (0.0000, 0.0000, 0.5000), Se at (0.0000, 0.0000, 0.2371) and Se at (0.0150, 0.5075, 0.2330).